Material: PaMn2ZnO6
Method: DFT, PBE+U
State: optimized geometry

Values from the calculation:
density = 7.0 g cm⁻³
total energy = -76.158 eV/f.u.

```
data_PaMn2ZnO6
_chemical_formula_sum 'Pa3 Mn6 Zn3 O18'
_cell_length_a 5.4082
_cell_length_b 5.4082
_cell_length_c 14.2046
_cell_angle_alpha 90.00
_cell_angle_beta 90.00
_cell_angle_gamma 120.00
_space_group_name_H-M_alt 'R 3'
_space_group_IT_number 146
_space_group_name_Hall 'R 3'
loop_
_atom_site_label
_atom_site_fract_x
_atom_site_fract_y
_atom_site_fract_z
Pa1 0.0000 0.0000 0.0000
Mn1 0.0000 0.0000 0.2811
Mn2 0.0000 0.0000 0.7979
Zn1 0.0000 0.0000 0.4955
O1 0.0019 0.6312 0.0585
O2 0.0420 0.3748 0.5525
```